[1]
# Pa2Te5I (PBE-GGA, relaxed)
# * E: -5.13 eV per atom
# * ρ: 7.8 g cm⁻³
# * SG: Immm
# * E_form (uncorrected): -4.80 eV per formula unit
data_Pa2Te5I
_cell_length_a 4.675
_cell_length_b 7.923
_cell_length_c 7.923
_cell_angle_alpha 74.71
_cell_angle_beta 72.84
_cell_angle_gamma 72.84
_space_group_name_H-M_alt 'P 1'
_space_group_IT_number 1
loop_
_space_group_symop_operation_xyz
'x,y,z'
loop_
_atom_site_label
_atom_site_fract_x
_atom_site_fract_y
_atom_site_fract_z
Pa1 0.751 0.749 0.749
Pa2 0.249 0.251 0.251
I1 0.000 0.000 0.000
Te1 0.000 0.500 0.500
Te2 0.659 0.151 0.531
Te3 0.659 0.531 0.151
Te4 0.341 0.849 0.469
Te5 0.341 0.469 0.849

***

[2]
# PaTe3I (PBE-GGA, relaxed)
# * E: -4.71 eV per atom
# * ρ: 6.1 g cm⁻³
# * SG: P2_1/m
# * E_form (uncorrected): -3.09 eV per formula unit
data_PaTe3I
_cell_length_a 4.292
_cell_length_b 10.361
_cell_length_c 9.156
_cell_angle_alpha 90.00
_cell_angle_beta 85.32
_cell_angle_gamma 90.00
_space_group_name_H-M_alt 'P 1'
_space_group_IT_number 1
loop_
_space_group_symop_operation_xyz
'x,y,z'
loop_
_atom_site_label
_atom_site_fract_x
_atom_site_fract_y
_atom_site_fract_z
Pa1 0.815 0.250 0.995
Pa2 0.185 0.750 0.005
Te1 0.694 0.949 0.877
Te2 0.694 0.551 0.877
Te3 0.306 0.449 0.123
Te4 0.306 0.051 0.123
Te5 0.326 0.250 0.763
Te6 0.674 0.750 0.237
I1 0.859 0.250 0.338
I2 0.141 0.750 0.662

***

[3]
# PaTeI2 (PBE-GGA, relaxed)
# * E: -4.71 eV per atom
# * ρ: 5.5 g cm⁻³
# * SG: Imm2
# * E_form (uncorrected): -3.12 eV per formula unit
data_PaTeI2
_cell_length_a 3.957
_cell_length_b 7.441
_cell_length_c 7.441
_cell_angle_alpha 61.63
_cell_angle_beta 74.57
_cell_angle_gamma 74.57
_space_group_name_H-M_alt 'P 1'
_space_group_IT_number 1
loop_
_space_group_symop_operation_xyz
'x,y,z'
loop_
_atom_site_label
_atom_site_fract_x
_atom_site_fract_y
_atom_site_fract_z
Pa1 0.750 0.887 0.613
I1 0.082 0.885 0.951
I2 0.418 0.549 0.615
Te1 0.250 0.178 0.322

***

[4]
# Pa2Tl5I12 (PBE-GGA, relaxed)
# * E: -3.35 eV per atom
# * ρ: 5.4 g cm⁻³
# * SG: C2/m
# * E_form (uncorrected): -14.15 eV per formula unit
data_Pa2Tl5I12
_cell_length_a 8.739
_cell_length_b 10.758
_cell_length_c 11.382
_cell_angle_alpha 106.35
_cell_angle_beta 90.00
_cell_angle_gamma 113.96
_space_group_name_H-M_alt 'P 1'
_space_group_IT_number 1
loop_
_space_group_symop_operation_xyz
'x,y,z'
loop_
_atom_site_label
_atom_site_fract_x
_atom_site_fract_y
_atom_site_fract_z
I1 0.902 0.319 0.071
I2 0.396 0.289 0.555
I3 0.582 0.681 0.929
I4 0.993 0.986 0.812
I5 0.604 0.711 0.445
I6 0.107 0.711 0.445
I7 0.507 0.014 0.210
I8 0.493 0.986 0.790
I9 0.418 0.319 0.071
I10 0.893 0.289 0.555
I11 0.098 0.681 0.929
I12 0.007 0.014 0.188
Pa1 0.267 0.000 0.000
Pa2 0.733 0.000 0.000
Tl1 0.681 0.361 0.781
Tl2 0.715 0.429 0.376
Tl3 0.285 0.571 0.624
Tl4 0.000 0.000 0.500
Tl5 0.319 0.639 0.219

***

[5]
# PaTl4I9 (PBE-GGA, relaxed)
# * E: -2.93 eV per atom
# * ρ: 6.3 g cm⁻³
# * SG: P6_3/mmc
# * E_form (uncorrected): -8.13 eV per formula unit
data_PaTl4I9
_cell_length_a 12.827
_cell_length_b 10.214
_cell_length_c 10.214
_cell_angle_alpha 120.00
_cell_angle_beta 90.00
_cell_angle_gamma 90.00
_space_group_name_H-M_alt 'P 1'
_space_group_IT_number 1
loop_
_space_group_symop_operation_xyz
'x,y,z'
loop_
_atom_site_label
_atom_site_fract_x
_atom_site_fract_y
_atom_site_fract_z
I1 0.250 0.070 0.535
I2 0.912 0.203 0.405
I3 0.088 0.797 0.203
I4 0.412 0.797 0.595
I5 0.412 0.797 0.203
I6 0.912 0.595 0.797
I7 0.750 0.930 0.465
I8 0.588 0.203 0.405
I9 0.750 0.535 0.070
I10 0.250 0.465 0.930
I11 0.412 0.405 0.203
I12 0.912 0.203 0.797
I13 0.588 0.595 0.797
I14 0.750 0.535 0.465
I15 0.588 0.203 0.797
I16 0.250 0.465 0.535
I17 0.088 0.797 0.595
I18 0.088 0.405 0.203
Tl1 0.000 0.000 0.000
Tl2 0.500 0.000 0.000
Tl3 0.750 0.867 0.133
Tl4 0.750 0.867 0.735
Tl5 0.250 0.133 0.265
Tl6 0.750 0.265 0.133
Tl7 0.250 0.133 0.867
Tl8 0.250 0.735 0.867
Pa1 0.750 0.333 0.667
Pa2 0.250 0.667 0.333

***

[6]
# PaTl2I8 (PBE-GGA, relaxed)
# * E: -3.09 eV per atom
# * ρ: 4.4 g cm⁻³
# * SG: C2/m
# * E_form (uncorrected): -7.41 eV per formula unit
data_PaTl2I8
_cell_length_a 8.944
_cell_length_b 8.965
_cell_length_c 8.965
_cell_angle_alpha 81.88
_cell_angle_beta 110.63
_cell_angle_gamma 110.63
_space_group_name_H-M_alt 'P 1'
_space_group_IT_number 1
loop_
_space_group_symop_operation_xyz
'x,y,z'
loop_
_atom_site_label
_atom_site_fract_x
_atom_site_fract_y
_atom_site_fract_z
Tl1 0.404 0.861 0.861
Tl2 0.596 0.139 0.139
I1 0.812 0.230 0.870
I2 0.188 0.770 0.130
I3 0.188 0.130 0.770
I4 0.812 0.870 0.230
I5 0.839 0.385 0.385
I6 0.739 0.765 0.765
I7 0.261 0.235 0.235
I8 0.161 0.615 0.615
Pa1 0.000 0.000 0.000